# 1
Here is a PBEsol-optimized structure of SrMnAs2Br from Alexandria. Energies are from meta-GGA SCAN.

```
SrMnAs2Br
1.0
4.643 0.000 0.000
0.000 4.643 0.000
0.000 0.000 5.502
Sr As Mn Br
1 2 1 1
Direct
0.500 0.500 0.500
0.000 0.500 0.000
0.500 0.000 0.000
0.000 0.000 0.000
0.000 0.000 0.500
```

The magnetization comes out at 3.622 μB/f.u. Its space-group type is P4/mmm, No. 123. The total energy comes out at -20.8202 eV/atom. As for the volume: 119 Å³ per cell.

# 2
Here is a PBEsol-optimized structure of MnTcAsBr2 from Alexandria. Energies are from meta-GGA SCAN.

```
MnTcAsBr2
1.0
-0.616 1.404 -4.432
3.031 -3.764 -1.614
-4.040 -3.076 -0.413
As Mn Tc Br
1 1 1 2
Direct
0.500 0.000 0.000
0.500 0.500 0.500
0.000 0.000 0.000
0.000 0.000 0.500
0.000 0.500 0.000
```

The magnetization comes out at 6.734 μB/f.u. Its space-group type is P4/mmm, No. 123. The total energy comes out at -22.1041 eV/atom. As for the volume: 122 Å³ per cell.

# 3
Here is a PBEsol-optimized structure of MnTeAsBr2 from Alexandria. Energies are from meta-GGA SCAN.

```
MnTeAsBr2
1.0
4.749 0.000 0.000
0.000 4.749 0.000
0.000 0.000 5.272
Mn As Te Br
1 1 1 2
Direct
0.000 0.000 0.000
0.000 0.000 0.500
0.500 0.500 0.500
0.000 0.500 0.000
0.500 0.000 0.000
```

The magnetization comes out at 3.366 μB/f.u. Its space-group type is P4/mmm, No. 123. The total energy comes out at -22.9373 eV/atom. As for the volume: 119 Å³ per cell.

# 4
Here is a PBEsol-optimized structure of NiMoAsBr2 from Alexandria. Energies are from meta-GGA SCAN.

```
NiMoAsBr2
1.0
-2.709 -1.613 -3.563
3.829 -0.704 -2.592
0.352 -4.344 1.699
Ni Mo As Br
1 1 1 2
Direct
0.000 0.000 0.000
0.500 0.500 0.500
0.500 0.000 0.000
0.000 0.000 0.500
0.000 0.500 0.000
```

The magnetization comes out at 3.226 μB/f.u. Its space-group type is P4/mmm, No. 123. The total energy comes out at -21.3026 eV/atom. As for the volume: 104 Å³ per cell.

# 5
Here is a PBEsol-optimized structure of MoAs2OsBr from Alexandria. Energies are from meta-GGA SCAN.

```
MoAs2OsBr
1.0
4.803 0.000 0.000
0.000 4.803 0.000
0.000 0.000 4.851
Mo Os As Br
1 1 2 1
Direct
0.000 0.000 0.000
0.500 0.500 0.500
0.000 0.500 0.000
0.500 0.000 0.000
0.000 0.000 0.500
```

The magnetization comes out at 3.917 μB/f.u. Its space-group type is P4/mmm, No. 123. The total energy comes out at -31.7889 eV/atom. As for the volume: 112 Å³ per cell.

# 6
Here is a PBEsol-optimized structure of RbMoAs2Br from Alexandria. Energies are from meta-GGA SCAN.

```
RbMoAs2Br
1.0
4.804 0.000 0.000
0.000 4.804 0.000
0.000 0.000 5.699
As Mo Br Rb
2 1 1 1
Direct
0.000 0.500 0.000
0.500 0.000 0.000
0.000 0.000 0.000
0.000 0.000 0.500
0.500 0.500 0.500
```

The magnetization comes out at 0.001 μB/f.u. Its space-group type is P4/mmm, No. 123. The total energy comes out at -23.3941 eV/atom. As for the volume: 132 Å³ per cell.

# 7
Here is a PBEsol-optimized structure of MoAs2RhBr from Alexandria. Energies are from meta-GGA SCAN.

```
MoAs2RhBr
1.0
4.663 0.000 0.000
0.000 4.663 0.000
0.000 0.000 5.029
Mo Rh As Br
1 1 2 1
Direct
0.500 0.500 0.500
0.000 0.000 0.000
0.000 0.500 0.000
0.500 0.000 0.000
0.000 0.000 0.500
```

The magnetization comes out at 3.232 μB/f.u. Its space-group type is P4/mmm, No. 123. The total energy comes out at -24.8511 eV/atom. As for the volume: 109 Å³ per cell.

# 8
Here is a PBEsol-optimized structure of MoAs2SBr from Alexandria. Energies are from meta-GGA SCAN.

```
MoAs2SBr
1.0
4.747 0.000 0.000
0.000 4.747 0.000
0.000 0.000 4.745
S Mo As Br
1 1 2 1
Direct
0.000 0.000 0.000
0.500 0.500 0.500
0.000 0.500 0.000
0.500 0.000 0.000
0.000 0.000 0.500
```

The magnetization comes out at 2.852 μB/f.u. Its space-group type is P4/mmm, No. 123. The total energy comes out at -19.7422 eV/atom. As for the volume: 107 Å³ per cell.

# 9
Here is a PBEsol-optimized structure of SbMoAsBr2 from Alexandria. Energies are from meta-GGA SCAN.

```
SbMoAsBr2
1.0
5.324 0.000 0.000
0.000 5.324 0.000
0.000 0.000 5.469
Sb Mo As Br
1 1 1 2
Direct
0.000 0.000 0.000
0.500 0.500 0.500
0.000 0.000 0.500
0.000 0.500 0.000
0.500 0.000 0.000
```

The magnetization comes out at 4.289 μB/f.u. Its space-group type is P4/mmm, No. 123. The total energy comes out at -25.3183 eV/atom. As for the volume: 155 Å³ per cell.

# 10
Here is a PBEsol-optimized structure of ScMoAs2Br from Alexandria. Energies are from meta-GGA SCAN.

```
ScMoAs2Br
1.0
-1.767 -0.438 4.409
2.938 -3.669 0.813
3.572 3.249 1.754
Sc Mo As Br
1 1 2 1
Direct
0.500 0.500 0.500
0.000 0.000 0.000
0.000 0.500 0.000
0.500 0.000 0.000
0.000 0.000 0.500
```

The magnetization comes out at 1.372 μB/f.u. Its space-group type is P4/mmm, No. 123. The total energy comes out at -21.5939 eV/atom. As for the volume: 117 Å³ per cell.

# 11
Here is a PBEsol-optimized structure of SiMoAsBr2 from Alexandria. Energies are from meta-GGA SCAN.

```
SiMoAsBr2
1.0
-4.035 -1.125 -2.470
-0.919 -3.597 3.140
-2.619 3.151 2.843
Mo Si As Br
1 1 1 2
Direct
0.500 0.500 0.500
0.000 0.000 0.000
0.000 0.000 0.500
0.000 0.500 0.000
0.500 0.000 0.000
```

The magnetization comes out at 3.826 μB/f.u. Its space-group type is P4/mmm, No. 123. The total energy comes out at -19.9396 eV/atom. As for the volume: 118 Å³ per cell.

# 12
Here is a PBEsol-optimized structure of SrMoAs2Br from Alexandria. Energies are from meta-GGA SCAN.

```
SrMoAs2Br
1.0
-4.680 0.552 -2.780
-2.793 -2.123 4.281
-0.647 5.081 2.098
Sr Mo As Br
1 1 2 1
Direct
0.000 0.000 0.000
0.500 0.500 0.500
0.000 0.000 0.500
0.000 0.500 0.000
0.500 0.000 0.000
```

The magnetization comes out at 3.282 μB/f.u. Its space-group type is P4/mmm, No. 123. The total energy comes out at -22.3749 eV/atom. As for the volume: 168 Å³ per cell.

# 13
Here is a PBEsol-optimized structure of YMoAsBr2 from Alexandria. Energies are from meta-GGA SCAN.

```
YMoAsBr2
1.0
-0.462 5.250 0.325
-4.409 -0.564 2.851
3.085 -0.023 4.766
Y Mo As Br
1 1 1 2
Direct
0.000 0.000 0.000
0.500 0.500 0.500
0.000 0.000 0.500
0.000 0.500 0.000
0.500 0.000 0.000
```

The magnetization comes out at 4.000 μB/f.u. Its space-group type is P4/mmm, No. 123. The total energy comes out at -24.3977 eV/atom. As for the volume: 158 Å³ per cell.

# 14
Here is a PBEsol-optimized structure of NbAs2BrN from Alexandria. Energies are from meta-GGA SCAN.

```
NbAs2BrN
1.0
4.259 0.000 0.000
0.000 4.259 0.000
0.000 0.000 4.403
Nb As Br N
1 2 1 1
Direct
0.500 0.500 0.500
0.000 0.500 0.000
0.500 0.000 0.000
0.000 0.000 0.500
0.000 0.000 0.000
```

The magnetization comes out at 1.146 μB/f.u. Its space-group type is P4/mmm, No. 123. As for the volume: 80 Å³ per cell. The energy above the most stable polymorph in this dataset comes out at 0 meV/atom.

# 15
Here is a PBEsol-optimized structure of NbAs2BrN from Alexandria. Energies are from meta-GGA SCAN.

```
NbAs2BrN
1.0
4.946 0.000 0.000
0.000 4.946 0.000
0.000 0.000 5.217
Nb As Br N
1 2 1 1
Direct
0.000 0.000 0.000
0.000 0.500 0.000
0.500 0.000 0.000
0.000 0.000 0.500
0.500 0.500 0.500
```

The magnetization comes out at 2.430 μB/f.u. Its space-group type is P4/mmm, No. 123. As for the volume: 128 Å³ per cell. The energy above the most stable polymorph in this dataset comes out at 67 meV/atom.

# 16
Here is a PBEsol-optimized structure of As2PBrN from Alexandria. Energies are from meta-GGA SCAN.

```
As2PBrN
1.0
-0.803 2.814 3.033
-4.335 -0.204 -0.958
-0.493 -3.302 2.933
P As Br N
1 2 1 1
Direct
0.500 0.500 0.500
0.000 0.000 0.500
0.000 0.500 0.000
0.500 0.000 0.000
0.000 0.000 0.000
```

The magnetization comes out at 0.000 μB/f.u. Its space-group type is P4/mmm, No. 123. The total energy comes out at -14.6292 eV/atom. As for the volume: 83 Å³ per cell.

# 17
Here is a PBEsol-optimized structure of RbAsBr2N from Alexandria. Energies are from meta-GGA SCAN.

```
RbAsBr2N
1.0
3.735 0.000 0.000
0.000 5.932 0.000
0.000 0.000 5.932
As Br Rb N
1 2 1 1
Direct
0.500 0.000 0.000
0.000 0.000 0.500
0.000 0.500 0.000
0.500 0.500 0.500
0.000 0.000 0.000
```

The magnetization comes out at 0.471 μB/f.u. Its space-group type is P4/mmm, No. 123. The total energy comes out at -17.7652 eV/atom. As for the volume: 131 Å³ per cell.

# 18
Here is a PBEsol-optimized structure of AsRuBr2N from Alexandria. Energies are from meta-GGA SCAN.

```
AsRuBr2N
1.0
4.565 0.000 0.000
0.000 5.138 0.000
0.000 0.000 5.138
Ru As Br N
1 1 2 1
Direct
0.000 0.000 0.000
0.500 0.000 0.000
0.000 0.000 0.500
0.000 0.500 0.000
0.500 0.500 0.500
```

The magnetization comes out at 2.089 μB/f.u. Its space-group type is P4/mmm, No. 123. The total energy comes out at -19.5241 eV/atom. As for the volume: 121 Å³ per cell.

# 19
Here is a PBEsol-optimized structure of SbAs2BrN from Alexandria. Energies are from meta-GGA SCAN.

```
SbAs2BrN
1.0
5.311 0.000 0.000
0.000 5.311 0.000
0.000 0.000 5.665
Sb As Br N
1 2 1 1
Direct
0.000 0.000 0.000
0.000 0.500 0.000
0.500 0.000 0.000
0.000 0.000 0.500
0.500 0.500 0.500
```

The magnetization comes out at 4.654 μB/f.u. Its space-group type is P4/mmm, No. 123. The total energy comes out at -19.7369 eV/atom. As for the volume: 160 Å³ per cell.

# 20
Here is a PBEsol-optimized structure of AsSe2BrN from Alexandria. Energies are from meta-GGA SCAN.

```
AsSe2BrN
1.0
3.609 0.000 0.000
0.000 5.178 0.000
0.000 0.000 5.178
As Se Br N
1 2 1 1
Direct
0.000 0.000 0.000
0.000 0.000 0.500
0.000 0.500 0.000
0.500 0.500 0.500
0.500 0.000 0.000
```

The magnetization comes out at 1.522 μB/f.u. Its space-group type is P4/mmm, No. 123. As for the volume: 97 Å³ per cell. The energy above the most stable polymorph in this dataset comes out at 0 meV/atom.